Record 1
# Hf3PaBi2, relaxed, DFT GGA-PBE
# DFT total energy (eV/atom): -7.80
# DFT formation energy (eV per atom): 0.05
# Symmetry: C2/m
data_Hf3PaBi2
_symmetry_space_group_name_H-M 'P 1'
_symmetry_Int_Tables_number 1
_symmetry_space_group_name_Hall 'P 1'
_cell_length_a 9.345
_cell_length_b 9.345
_cell_length_c 9.318
_cell_angle_alpha 115.38
_cell_angle_beta 115.38
_cell_angle_gamma 25.20
loop_
_atom_site_label
_atom_site_fract_x
_atom_site_fract_y
_atom_site_fract_z
Hf1 0.061 0.061 0.441
Hf2 0.306 0.306 0.493
Hf3 0.409 0.409 0.296
Hf4 0.591 0.591 0.704
Hf5 0.694 0.694 0.507
Hf6 0.939 0.939 0.559
Pa1 0.118 0.118 0.012
Pa2 0.882 0.882 0.988
Bi1 0.231 0.231 0.788
Bi2 0.456 0.456 0.811
Bi3 0.544 0.544 0.189
Bi4 0.769 0.769 0.212

---

Record 2
# VRuW, relaxed, DFT GGA-PBE
# DFT total energy (eV/atom): -10.51
# DFT formation energy (eV per atom): -0.06
# Symmetry: Amm2
data_VRuW
_symmetry_space_group_name_H-M 'P 1'
_symmetry_Int_Tables_number 1
_symmetry_space_group_name_Hall 'P 1'
_cell_length_a 4.389
_cell_length_b 3.072
_cell_length_c 12.945
_cell_angle_alpha 90.00
_cell_angle_beta 90.00
_cell_angle_gamma 90.00
loop_
_atom_site_label
_atom_site_fract_x
_atom_site_fract_y
_atom_site_fract_z
V1 0.000 0.000 0.000
V2 0.000 0.500 0.500
V3 0.500 0.000 0.163
V4 0.500 0.500 0.663
Ru1 0.000 0.000 0.670
Ru2 0.000 0.500 0.170
Ru3 0.500 0.000 0.827
Ru4 0.500 0.500 0.327
W1 0.000 0.000 0.341
W2 0.000 0.500 0.841
W3 0.500 0.000 0.505
W4 0.500 0.500 0.005

---

Record 3
# K3Tl3CdBr8, relaxed, DFT GGA-PBE
# DFT total energy (eV/atom): -2.86
# ΔE_f (raw) (eV per atom): -1.22
# Symmetry: R-3m
data_K3Tl3CdBr8
_symmetry_space_group_name_H-M 'P 1'
_symmetry_Int_Tables_number 1
_symmetry_space_group_name_Hall 'P 1'
_cell_length_a 9.442
_cell_length_b 9.442
_cell_length_c 9.442
_cell_angle_alpha 59.59
_cell_angle_beta 59.59
_cell_angle_gamma 59.59
loop_
_atom_site_label
_atom_site_fract_x
_atom_site_fract_y
_atom_site_fract_z
K1 0.000 0.500 0.500
K2 0.500 0.000 0.500
K3 0.500 0.500 0.000
Tl1 0.000 0.000 0.500
Tl2 0.000 0.500 0.000
Tl3 0.500 0.000 0.000
Cd1 0.000 0.000 0.000
Br1 0.215 0.215 0.783
Br2 0.215 0.783 0.215
Br3 0.217 0.785 0.785
Br4 0.252 0.252 0.252
Br5 0.748 0.748 0.748
Br6 0.783 0.215 0.215
Br7 0.785 0.217 0.785
Br8 0.785 0.785 0.217

---

Record 4
# BaTcAu2, relaxed, DFT GGA-PBE
# DFT total energy (eV/atom): -4.15
# DFT formation energy (eV per atom): 0.56
# Symmetry: F-43m
data_BaTcAu2
_symmetry_space_group_name_H-M 'P 1'
_symmetry_Int_Tables_number 1
_symmetry_space_group_name_Hall 'P 1'
_cell_length_a 7.208
_cell_length_b 7.208
_cell_length_c 7.208
_cell_angle_alpha 90.00
_cell_angle_beta 90.00
_cell_angle_gamma 90.00
loop_
_atom_site_label
_atom_site_fract_x
_atom_site_fract_y
_atom_site_fract_z
Ba1 0.000 0.000 0.000
Ba2 0.000 0.500 0.500
Ba3 0.500 0.000 0.500
Ba4 0.500 0.500 0.000
Tc1 0.250 0.250 0.250
Tc2 0.250 0.750 0.750
Tc3 0.750 0.250 0.750
Tc4 0.750 0.750 0.250
Au1 0.000 0.000 0.500
Au2 0.000 0.500 0.000
Au3 0.250 0.250 0.750
Au4 0.250 0.750 0.250
Au5 0.500 0.000 0.000
Au6 0.500 0.500 0.500
Au7 0.750 0.250 0.250
Au8 0.750 0.750 0.750

---

Record 5
# RhW2Au, relaxed, DFT GGA-PBE
# DFT total energy (eV/atom): -9.00
# DFT formation energy (eV per atom): 0.13
# Symmetry: Pmm2
data_RhW2Au
_symmetry_space_group_name_H-M 'P 1'
_symmetry_Int_Tables_number 1
_symmetry_space_group_name_Hall 'P 1'
_cell_length_a 2.803
_cell_length_b 4.516
_cell_length_c 4.983
_cell_angle_alpha 90.00
_cell_angle_beta 90.00
_cell_angle_gamma 90.00
loop_
_atom_site_label
_atom_site_fract_x
_atom_site_fract_y
_atom_site_fract_z
Rh1 0.000 0.000 0.000
W1 0.500 0.000 0.510
W2 0.500 0.500 0.832
Au1 0.000 0.500 0.327

---

Record 6
# Ce8PSe4S3, relaxed, DFT GGA-PBE
# DFT total energy (eV/atom): -6.82
# ΔE_f (raw) (eV per atom): -1.87
# Symmetry: R-3m
data_Ce8PSe4S3
_symmetry_space_group_name_H-M 'P 1'
_symmetry_Int_Tables_number 1
_symmetry_space_group_name_Hall 'P 1'
_cell_length_a 8.265
_cell_length_b 8.265
_cell_length_c 8.265
_cell_angle_alpha 59.54
_cell_angle_beta 59.54
_cell_angle_gamma 59.54
loop_
_atom_site_label
_atom_site_fract_x
_atom_site_fract_y
_atom_site_fract_z
Ce1 0.245 0.245 0.245
Ce2 0.245 0.744 0.744
Ce3 0.256 0.256 0.755
Ce4 0.256 0.755 0.256
Ce5 0.744 0.245 0.744
Ce6 0.744 0.744 0.245
Ce7 0.755 0.256 0.256
Ce8 0.755 0.755 0.755
P1 0.500 0.500 0.500
Se1 0.000 0.000 0.000
Se2 0.000 0.500 0.500
Se3 0.500 0.000 0.500
Se4 0.500 0.500 0.000
S1 0.000 0.000 0.500
S2 0.000 0.500 0.000
S3 0.500 0.000 0.000

---

Respective DOS(E_F) values: 7.49; 2.55; 0.00; 1.71; 2.66; 42.08 states/eV/f.u..
Respective density values: 12.6; 12.8; 4.2; 11.2; 17.6; 6.6 g/cm3.